Record 1
Here is a geometry-optimized Dy4Bi2SbSe structure from Alexandria via LeMat-Bulk. Energies are from PBE.

Values from the calculation:
DOS(E_F), states/eV per atom: 0.197
Magnetization, μB per atom: 0.000
DFT total energy, eV per cell: -42.93

abc: 4.3608 7.5587 7.5382
angles: 70.59 90.00 90.00
Sites, in units of the cell vectors:
Bi1 0.0000 0.0000 0.0000
Bi2 0.5000 0.0000 0.5000
Sb1 0.0000 0.5000 0.5000
Dy1 0.0000 0.2616 0.2428
Dy2 0.5000 0.7403 0.2492
Dy3 0.5000 0.2597 0.7508
Dy4 0.0000 0.7384 0.7572
Se1 0.5000 0.5000 0.0000

---

Record 2
Here is a geometry-optimized SmDyBiSb structure from Alexandria via LeMat-Bulk. Energies are from PBE.

Values from the calculation:
DOS(E_F), states/eV per atom: 0.151
Magnetization, μB per atom: 0.000
DFT total energy, eV per cell: -21.38

abc: 4.4734 4.4752 6.3193
angles: 90.02 90.00 90.00
Sites, in units of the cell vectors:
Dy1 0.0000 0.8917 0.5922
Sb1 0.5000 0.3917 0.5927
Sm1 0.5000 0.3914 0.0928
Bi1 0.0000 0.8914 0.0922

---

Record 3
Here is a geometry-optimized Dy4BiSb2Te structure from Alexandria via LeMat-Bulk. Energies are from PBE.

Values from the calculation:
DOS(E_F), states/eV per atom: 0.195
Magnetization, μB per atom: 0.000
DFT total energy, eV per cell: -42.80

abc: 4.4016 7.6239 7.6133
angles: 70.60 90.00 90.00
Sites, in units of the cell vectors:
Sb1 0.5000 0.0000 0.5000
Sb2 0.0000 0.0000 0.0000
Dy1 0.5000 0.2408 0.7548
Dy2 0.0000 0.2425 0.2514
Dy3 0.0000 0.7575 0.7486
Dy4 0.5000 0.7592 0.2452
Te1 0.0000 0.5000 0.5000
Bi1 0.5000 0.5000 0.0000